No. 1
Below is crystalline AlPI2O at its relaxed geometry, with properties calculated at the GGA-PBEsol level.

Formation energy from raw total energies (eV per atom): -0.37
SG: P4/mmm

Geometry as CIF:
```
data_AlPI2O
_cell_length_a 5.5396
_cell_length_b 5.5396
_cell_length_c 3.4506
_cell_angle_alpha 90.00
_cell_angle_beta 90.00
_cell_angle_gamma 90.00
_space_group_name_H-M_alt 'P 1'
_space_group_IT_number 1
loop_
_space_group_symop_operation_xyz
'x,y,z'
loop_
_atom_site_label
_atom_site_type_symbol
_atom_site_fract_x
_atom_site_fract_y
_atom_site_fract_z
_atom_site_occupancy
Al1 Al 0.0000 0.0000 0.0000 1
P1 P 0.5000 0.5000 0.5000 1
I1 I 0.0000 0.5000 0.0000 1
I2 I 0.5000 0.0000 0.0000 1
O1 O 0.0000 0.0000 0.5000 1
```

---

No. 2
Below is crystalline ReTeNF2 at its relaxed geometry, with properties calculated at the GGA-PBEsol level.

Formation energy from raw total energies (eV per atom): -0.17
SG: P4/mmm

Geometry as CIF:
```
data_ReTeNF2
_cell_length_a 4.2164
_cell_length_b 4.2164
_cell_length_c 3.8644
_cell_angle_alpha 90.00
_cell_angle_beta 90.00
_cell_angle_gamma 90.00
_space_group_name_H-M_alt 'P 1'
_space_group_IT_number 1
loop_
_space_group_symop_operation_xyz
'x,y,z'
loop_
_atom_site_label
_atom_site_type_symbol
_atom_site_fract_x
_atom_site_fract_y
_atom_site_fract_z
_atom_site_occupancy
Re1 Re 0.0000 0.0000 0.0000 1
Te1 Te 0.5000 0.5000 0.5000 1
N1 N 0.0000 0.0000 0.5000 1
F1 F 0.0000 0.5000 0.0000 1
F2 F 0.5000 0.0000 0.0000 1
```

---

No. 3
Below is crystalline BeRe2W at its relaxed geometry, with properties calculated at the GGA-PBEsol level.

DFT formation energy (eV/atom): 0.057
SG: P4/mmm

Geometry as CIF:
```
data_BeRe2W
_cell_length_a 3.0809
_cell_length_b 3.0809
_cell_length_c 5.6851
_cell_angle_alpha 90.00
_cell_angle_beta 90.00
_cell_angle_gamma 90.00
_space_group_name_H-M_alt 'P 1'
_space_group_IT_number 1
loop_
_space_group_symop_operation_xyz
'x,y,z'
loop_
_atom_site_label
_atom_site_type_symbol
_atom_site_fract_x
_atom_site_fract_y
_atom_site_fract_z
_atom_site_occupancy
Be1 Be 0.0000 0.0000 0.0000 1
Re1 Re 0.5000 0.5000 0.2265 1
Re2 Re 0.5000 0.5000 0.7735 1
W1 W 0.0000 0.0000 0.5000 1
```

---

No. 4
Below is crystalline Li3V2P3O12 at its relaxed geometry, with properties calculated at the GGA-PBEsol level.

Formation energy from raw total energies (eV per atom): -2.31
Relative energy among the computed polymorphs (eV per atom): 0.001
SG: P2_12_12

Geometry as CIF:
```
data_Li3V2P3O12
_cell_length_a 8.6396
_cell_length_b 12.0419
_cell_length_c 8.6395
_cell_angle_alpha 90.00
_cell_angle_beta 90.00
_cell_angle_gamma 90.00
_space_group_name_H-M_alt 'P 1'
_space_group_IT_number 1
loop_
_space_group_symop_operation_xyz
'x,y,z'
loop_
_atom_site_label
_atom_site_type_symbol
_atom_site_fract_x
_atom_site_fract_y
_atom_site_fract_z
_atom_site_occupancy
Li1 Li 0.0167 0.1855 0.4472 1
Li2 Li 0.0206 0.3184 0.9728 1
Li3 Li 0.1786 0.2110 0.6965 1
Li4 Li 0.3214 0.7110 0.3035 1
Li5 Li 0.4794 0.8184 0.0272 1
Li6 Li 0.4833 0.6855 0.5528 1
Li7 Li 0.5167 0.3145 0.5528 1
Li8 Li 0.5206 0.1816 0.0272 1
Li9 Li 0.6786 0.2890 0.3035 1
Li10 Li 0.8214 0.7890 0.6965 1
Li11 Li 0.9794 0.6816 0.9728 1
Li12 Li 0.9833 0.8145 0.4472 1
V1 V 0.2098 0.3881 0.4944 1
V2 V 0.2114 0.1142 0.0017 1
V3 V 0.2886 0.6142 0.9983 1
V4 V 0.2902 0.8881 0.5056 1
V5 V 0.7098 0.1119 0.5056 1
V6 V 0.7114 0.3858 0.9983 1
V7 V 0.7886 0.8858 0.0017 1
V8 V 0.7902 0.6119 0.4944 1
P1 P 0.0000 0.0000 0.7048 1
P2 P 0.0000 0.5000 0.2097 1
P3 P 0.1442 0.6469 0.6453 1
P4 P 0.1493 0.8548 0.1431 1
P5 P 0.3507 0.3548 0.8569 1
P6 P 0.3558 0.1469 0.3547 1
P7 P 0.5000 0.0000 0.7903 1
P8 P 0.5000 0.5000 0.2952 1
P9 P 0.6442 0.8531 0.3547 1
P10 P 0.6493 0.6452 0.8569 1
P11 P 0.8507 0.1452 0.1431 1
P12 P 0.8558 0.3531 0.6453 1
O1 O 0.0132 0.1782 0.0873 1
O2 O 0.0210 0.3146 0.5945 1
O3 O 0.0873 0.9187 0.5971 1
O4 O 0.0913 0.5799 0.1033 1
O5 O 0.1066 0.4270 0.3082 1
O6 O 0.1094 0.0735 0.8009 1
O7 O 0.1527 0.6632 0.8221 1
O8 O 0.1567 0.8394 0.3217 1
O9 O 0.1759 0.5280 0.5959 1
O10 O 0.1935 0.9708 0.0937 1
O11 O 0.2256 0.2711 0.9152 1
O12 O 0.2337 0.2216 0.4385 1
O13 O 0.2663 0.7216 0.5615 1
O14 O 0.2744 0.7711 0.0848 1
O15 O 0.3065 0.4708 0.9063 1
O16 O 0.3241 0.0280 0.4041 1
O17 O 0.3433 0.3394 0.6783 1
O18 O 0.3473 0.1632 0.1779 1
O19 O 0.3906 0.5735 0.1991 1
O20 O 0.3934 0.9270 0.6918 1
O21 O 0.4087 0.0799 0.8967 1
O22 O 0.4127 0.4187 0.4029 1
O23 O 0.4790 0.8146 0.4055 1
O24 O 0.4868 0.6782 0.9127 1
O25 O 0.5132 0.3218 0.9127 1
O26 O 0.5210 0.1854 0.4055 1
O27 O 0.5873 0.5813 0.4029 1
O28 O 0.5913 0.9201 0.8967 1
O29 O 0.6066 0.0730 0.6918 1
O30 O 0.6094 0.4265 0.1991 1
O31 O 0.6527 0.8368 0.1779 1
O32 O 0.6567 0.6606 0.6783 1
O33 O 0.6759 0.9720 0.4041 1
O34 O 0.6935 0.5292 0.9063 1
O35 O 0.7256 0.2289 0.0848 1
O36 O 0.7337 0.2784 0.5615 1
O37 O 0.7663 0.7784 0.4385 1
O38 O 0.7744 0.7289 0.9152 1
O39 O 0.8065 0.0292 0.0937 1
O40 O 0.8241 0.4720 0.5959 1
O41 O 0.8433 0.1606 0.3217 1
O42 O 0.8473 0.3368 0.8221 1
O43 O 0.8906 0.9265 0.8009 1
O44 O 0.8934 0.5730 0.3082 1
O45 O 0.9087 0.4201 0.1033 1
O46 O 0.9127 0.0813 0.5971 1
O47 O 0.9790 0.6854 0.5945 1
O48 O 0.9868 0.8218 0.0873 1
```

---

No. 5
Below is crystalline BaSm2CoO5 at its relaxed geometry, with properties calculated at the GGA-PBEsol level.

Formation energy from raw total energies (eV per atom): -2.69
SG: Immm

Geometry as CIF:
```
data_BaSm2CoO5
_cell_length_a 6.7651
_cell_length_b 6.7651
_cell_length_c 6.7651
_cell_angle_alpha 148.27
_cell_angle_beta 128.86
_cell_angle_gamma 61.45
_space_group_name_H-M_alt 'P 1'
_space_group_IT_number 1
loop_
_space_group_symop_operation_xyz
'x,y,z'
loop_
_atom_site_label
_atom_site_type_symbol
_atom_site_fract_x
_atom_site_fract_y
_atom_site_fract_z
_atom_site_occupancy
Ba1 Ba 0.0000 0.0000 0.0000 1
Sm1 Sm 0.2971 0.7971 0.5000 1
Sm2 Sm 0.7029 0.2029 0.5000 1
Co1 Co 0.5000 0.5000 0.0000 1
O1 O 0.1118 0.3538 0.7580 1
O2 O 0.4042 0.6462 0.7580 1
O3 O 0.5000 0.0000 0.5000 1
O4 O 0.5958 0.3538 0.2420 1
O5 O 0.8882 0.6462 0.2420 1
```

---

No. 6
Below is crystalline Tl3AsF6 at its relaxed geometry, with properties calculated at the GGA-PBEsol level.

Formation energy from raw total energies (eV per atom): -1.76
SG: R-3m

Geometry as CIF:
```
data_Tl3AsF6
_cell_length_a 6.9133
_cell_length_b 6.9133
_cell_length_c 6.9133
_cell_angle_alpha 104.04
_cell_angle_beta 104.04
_cell_angle_gamma 104.04
_space_group_name_H-M_alt 'P 1'
_space_group_IT_number 1
loop_
_space_group_symop_operation_xyz
'x,y,z'
loop_
_atom_site_label
_atom_site_type_symbol
_atom_site_fract_x
_atom_site_fract_y
_atom_site_fract_z
_atom_site_occupancy
Tl1 Tl 0.0000 0.5000 0.5000 1
Tl2 Tl 0.5000 0.0000 0.5000 1
Tl3 Tl 0.5000 0.5000 0.0000 1
As1 As 0.5000 0.5000 0.5000 1
F1 F 0.2778 0.2778 0.5554 1
F2 F 0.2778 0.5554 0.2778 1
F3 F 0.4446 0.7222 0.7222 1
F4 F 0.5554 0.2778 0.2778 1
F5 F 0.7222 0.4446 0.7222 1
F6 F 0.7222 0.7222 0.4446 1
```

---

No. 7
Below is crystalline Ca2H2S2O9 at its relaxed geometry, with properties calculated at the GGA-PBEsol level.

Electronic total energy (eV per cell): -290.77
SG: C2

Geometry as CIF:
```
data_Ca2H2S2O9
_cell_length_a 9.3352
_cell_length_b 9.3352
_cell_length_c 11.9453
_cell_angle_alpha 129.65
_cell_angle_beta 129.65
_cell_angle_gamma 43.28
_space_group_name_H-M_alt 'P 1'
_space_group_IT_number 1
loop_
_space_group_symop_operation_xyz
'x,y,z'
loop_
_atom_site_label
_atom_site_type_symbol
_atom_site_fract_x
_atom_site_fract_y
_atom_site_fract_z
_atom_site_occupancy
Ca1 Ca 0.0000 0.0000 0.0000 1
Ca2 Ca 0.3199 0.0031 0.4472 1
Ca3 Ca 0.5077 0.4923 0.5000 1
Ca4 Ca 0.5427 0.1282 0.0703 1
Ca5 Ca 0.8718 0.4573 0.9297 1
Ca6 Ca 0.9969 0.6801 0.5528 1
H1 H 0.1107 0.3692 0.6849 1
H2 H 0.1871 0.1688 0.7061 1
H3 H 0.3982 0.5462 0.9135 1
H4 H 0.4538 0.6018 0.0865 1
H5 H 0.6308 0.8893 0.3151 1
H6 H 0.8312 0.8129 0.2939 1
S1 S 0.1019 0.7253 0.1914 1
S2 S 0.2597 0.2468 0.2541 1
S3 S 0.2747 0.8981 0.8086 1
S4 S 0.5887 0.2535 0.6968 1
S5 S 0.7465 0.4113 0.3032 1
S6 S 0.7532 0.7403 0.7459 1
O1 O 0.0598 0.2961 0.1157 1
O2 O 0.0920 0.8816 0.1802 1
O3 O 0.1184 0.9080 0.8198 1
O4 O 0.1837 0.2072 0.6443 1
O5 O 0.2035 0.1291 0.8541 1
O6 O 0.2041 0.4982 0.0841 1
O7 O 0.2194 0.4411 0.3949 1
O8 O 0.2238 0.7346 0.3538 1
O9 O 0.2654 0.7762 0.6462 1
O10 O 0.3209 0.0569 0.2649 1
O11 O 0.3405 0.6595 0.0000 1
O12 O 0.3478 0.4002 0.6663 1
O13 O 0.4455 0.1902 0.2416 1
O14 O 0.5018 0.7959 0.9159 1
O15 O 0.5589 0.7806 0.6051 1
O16 O 0.5998 0.6522 0.3337 1
O17 O 0.6457 0.0224 0.6012 1
O18 O 0.6654 0.3137 0.6633 1
O19 O 0.6863 0.3346 0.3367 1
O20 O 0.7039 0.9402 0.8843 1
O21 O 0.7052 0.2794 0.8642 1
O22 O 0.7206 0.2948 0.1358 1
O23 O 0.7928 0.8163 0.3557 1
O24 O 0.8098 0.5545 0.7584 1
O25 O 0.8709 0.7965 0.1459 1
O26 O 0.9431 0.6791 0.7351 1
O27 O 0.9776 0.3543 0.3988 1
```

---

No. 8
Below is crystalline MgAg3 at its relaxed geometry, with properties calculated at the GGA-PBEsol level.

Relative energy among the computed polymorphs (eV per atom): 0.044
DFT formation energy (eV/atom): -0.132
SG: Pmmm

Geometry as CIF:
```
data_MgAg3
_cell_length_a 3.0028
_cell_length_b 3.9474
_cell_length_c 5.7579
_cell_angle_alpha 90.00
_cell_angle_beta 90.00
_cell_angle_gamma 90.00
_space_group_name_H-M_alt 'P 1'
_space_group_IT_number 1
loop_
_space_group_symop_operation_xyz
'x,y,z'
loop_
_atom_site_label
_atom_site_type_symbol
_atom_site_fract_x
_atom_site_fract_y
_atom_site_fract_z
_atom_site_occupancy
Mg1 Mg 0.0000 0.0000 0.0000 1
Ag1 Ag 0.0000 0.0000 0.5000 1
Ag2 Ag 0.5000 0.5000 0.2507 1
Ag3 Ag 0.5000 0.5000 0.7493 1
```

---

Repeat the third record exactly.
Below is crystalline BeRe2W at its relaxed geometry, with properties calculated at the GGA-PBEsol level.

DFT formation energy (eV/atom): 0.057
SG: P4/mmm

Geometry as CIF:
```
data_BeRe2W
_cell_length_a 3.0809
_cell_length_b 3.0809
_cell_length_c 5.6851
_cell_angle_alpha 90.00
_cell_angle_beta 90.00
_cell_angle_gamma 90.00
_space_group_name_H-M_alt 'P 1'
_space_group_IT_number 1
loop_
_space_group_symop_operation_xyz
'x,y,z'
loop_
_atom_site_label
_atom_site_type_symbol
_atom_site_fract_x
_atom_site_fract_y
_atom_site_fract_z
_atom_site_occupancy
Be1 Be 0.0000 0.0000 0.0000 1
Re1 Re 0.5000 0.5000 0.2265 1
Re2 Re 0.5000 0.5000 0.7735 1
W1 W 0.0000 0.0000 0.5000 1
```